# 1
First-principles (PBEsol) data for crystalline Na3AlH6 at its relaxed geometry, as listed in the Alexandria database.

Geometry as extended XYZ:
```
80
Lattice="5.380 0.000 0.000 0.000 9.015 0.000 0.000 0.000 17.479" Properties=species:S:1:pos:R:3 pbc="T T T"
Na 1.013 2.241 2.880
Na 1.013 2.241 5.860
Na 1.013 2.267 11.620
Na 1.013 2.267 14.599
Na 1.363 5.250 0.909
Na 1.363 5.250 7.830
Na 1.363 8.273 9.649
Na 1.363 8.273 16.570
Na 1.636 5.324 11.412
Na 1.636 5.324 14.807
Na 1.636 8.199 2.673
Na 1.636 8.199 6.067
Na 3.745 0.816 11.412
Na 3.745 0.816 14.807
Na 3.745 3.692 2.673
Na 3.745 3.692 6.067
Na 4.017 0.743 0.909
Na 4.017 0.743 7.830
Na 4.017 3.765 9.649
Na 4.017 3.765 16.570
Na 4.367 6.748 2.880
Na 4.367 6.748 5.860
Na 4.367 6.775 11.620
Na 4.367 6.775 14.599
Al 1.175 2.254 0.000
Al 1.175 2.254 8.740
Al 1.388 5.201 4.370
Al 1.388 8.322 13.109
Al 3.993 0.693 4.370
Al 3.993 3.814 13.109
Al 4.205 6.761 0.000
Al 4.205 6.761 8.740
H 0.130 6.188 9.812
H 0.130 6.188 16.406
H 0.130 7.335 1.073
H 0.130 7.335 7.667
H 0.254 4.755 3.103
H 0.254 4.755 5.637
H 0.254 8.768 11.842
H 0.254 8.768 14.377
H 0.730 6.663 13.109
H 0.730 6.860 4.370
H 1.193 0.763 0.891
H 1.193 0.763 7.849
H 1.193 3.745 9.630
H 1.193 3.745 16.588
H 2.066 0.945 13.109
H 2.066 3.563 4.370
H 2.392 1.563 9.826
H 2.392 1.563 16.393
H 2.392 2.945 1.086
H 2.392 2.945 7.654
H 2.507 5.639 3.086
H 2.507 5.639 5.654
H 2.507 7.884 11.826
H 2.507 7.884 14.393
H 2.873 1.132 3.086
H 2.873 1.132 5.654
H 2.873 3.376 11.826
H 2.873 3.376 14.393
H 2.988 6.071 9.826
H 2.988 6.071 16.393
H 2.988 7.452 1.086
H 2.988 7.452 7.654
H 3.315 5.453 13.109
H 3.315 8.070 4.370
H 4.187 5.271 0.891
H 4.187 5.271 7.849
H 4.187 8.252 9.630
H 4.187 8.252 16.588
H 4.650 2.155 13.109
H 4.650 2.353 4.370
H 5.126 0.247 3.103
H 5.126 0.247 5.637
H 5.126 4.261 11.842
H 5.126 4.261 14.377
H 5.250 1.680 9.812
H 5.250 1.680 16.406
H 5.250 2.827 1.073
H 5.250 2.827 7.667
```

Properties
* final energy: -237.752 eV/cell
* total magnetic moment: 0.0 μB per formula unit

=====

# 2
First-principles (PBEsol) data for crystalline Na3AlP2H2O9 at its relaxed geometry, as listed in the Alexandria database.

Geometry as extended XYZ:
```
34
Lattice="7.614 -3.532 0.000 7.614 3.532 0.000 -0.887 0.000 6.985" Properties=species:S:1:pos:R:3 pbc="T T T"
Na 3.363 1.766 3.492
Na 7.614 1.875 0.000
Na 5.658 0.000 2.022
Na 3.363 -1.766 3.492
Na 8.682 0.000 4.962
Na 7.614 -1.875 0.000
Al 3.807 1.766 0.000
Al 3.807 -1.766 0.000
P 1.182 0.000 4.911
P 5.062 0.000 5.417
P 9.279 0.000 1.568
P 13.159 0.000 2.074
H 0.504 0.000 2.710
H 2.754 0.000 1.250
H 11.586 0.000 5.735
H 13.836 0.000 4.275
O 4.825 2.257 1.586
O -0.307 0.000 5.287
O 1.354 0.000 3.329
O 4.522 1.270 6.169
O 3.588 0.000 0.737
O 4.567 0.000 3.971
O 9.516 2.257 5.399
O 9.819 1.270 0.816
O 6.580 0.000 5.513
O 7.761 0.000 1.472
O 4.522 -1.270 6.169
O 4.825 -2.257 1.586
O 9.773 0.000 3.013
O 10.752 0.000 6.247
O 9.819 -1.270 0.816
O 12.986 0.000 3.655
O 14.647 0.000 1.698
O 9.516 -2.257 5.399
```

Properties
* final energy: -222.342 eV/cell
* total magnetic moment: 0.0 μB per formula unit

=====

# 3
First-principles (PBEsol) data for crystalline Na2Al2Si3H6O13 at its relaxed geometry, as listed in the Alexandria database.

Geometry as extended XYZ:
```
52
Lattice="3.242 -9.649 0.000 3.242 9.649 0.000 -2.919 0.000 9.289" Properties=species:S:1:pos:R:3 pbc="T T T"
Na 1.782 8.060 4.644
Na 0.841 2.559 7.705
Na 2.301 -2.559 3.061
Na 3.242 -8.060 0.000
Al -0.576 5.625 8.803
Al 0.883 -5.625 4.159
Al 4.116 0.658 2.511
Al 2.656 -0.658 7.155
Si 0.177 2.207 3.106
Si -1.283 -2.207 7.750
Si 2.573 3.266 1.574
Si 2.635 1.541 5.061
Si 1.113 -3.266 6.218
Si 4.095 -1.541 0.416
H -0.304 4.593 6.333
H 0.828 5.360 4.673
H -1.458 0.743 7.218
H 1.679 5.512 3.366
H 2.832 7.459 2.076
H 0.002 -0.743 2.574
H 1.087 5.062 6.783
H 1.155 -4.593 1.689
H 2.288 -5.360 0.029
H 0.219 -5.512 8.010
H 2.547 -5.062 2.139
H 1.373 -7.459 6.720
O 0.998 5.984 3.908
O -1.344 1.717 7.419
O 1.187 8.780 7.197
O 1.004 2.786 1.797
O 0.655 4.421 6.157
O 2.670 4.042 0.161
O 0.918 6.297 8.183
O 0.116 -1.717 2.775
O 1.220 1.823 4.280
O 3.013 4.269 2.795
O -0.456 -2.786 6.441
O -0.239 -1.823 8.925
O 3.497 1.942 1.520
O 2.273 0.917 6.513
O 2.115 -4.421 1.512
O 1.211 -4.042 4.806
O 3.467 2.915 5.336
O -0.462 -5.984 8.553
O 2.037 -1.942 6.164
O 3.733 -0.917 1.869
O 3.542 0.513 4.169
O 2.083 -0.513 8.813
O 1.553 -4.269 7.439
O 2.377 -6.297 3.539
O 4.927 -2.915 0.692
O 2.647 -8.780 2.552
```

Properties
* final energy: -344.547 eV/cell
* total magnetic moment: 0.0 μB per formula unit

=====

> Look up the total magnetic moment of the first one.

0.0 μB per formula unit

=====

> Look up the final energy of the first one.

-237.752 eV/cell